(1)
First-principles (PBE-GGA) data for a relaxed structure of Nd2ZrN3, as listed in the Open Quantum Materials Database.

Computed properties:
Space-group type   P-3m1
Energy   -8.643 eV/atom

abc: 3.4614 3.4614 8.6856
angles: 90.00 90.00 120.00
Last column: nearest neighbours and their distance in Å.
Fractional positions:
Zr  0.0000  0.0000  0.5000  6 N 2.34
N  0.0000  0.0000  0.0000  6 Nd 2.49
N  0.3333  0.6667  0.3605  3 Zr 2.34, 3 Nd 2.58
N  0.6667  0.3333  0.6395  3 Zr 2.34, 3 Nd 2.58
Nd  0.6667  0.3333  0.1719  6 N 2.49-2.58
Nd  0.3333  0.6667  0.8281  6 N 2.49-2.58

(2)
First-principles (PBE-GGA) data for a relaxed structure of CuHg2Mo, as listed in the Open Quantum Materials Database.

Computed properties:
Space-group type   F-43m
Energy of formation from the pure elements   705.4 meV/atom

abc: 4.6732 4.6732 4.6732
angles: 60.00 60.00 60.00
Last column: nearest neighbours and their distance in Å.
Fractional positions:
Hg  0.7500  0.7500  0.7500  4 Mo 2.86, 4 Hg 2.86
Hg  0.0000  0.0000  0.0000  4 Hg 2.86, 4 Cu 2.86
Cu  0.2500  0.2500  0.2500  4 Hg 2.86, 4 Mo 2.86
Mo  0.5000  0.5000  0.5000  4 Hg 2.86, 4 Cu 2.86

Number 1: V 15.0 Å³ per atom, calculated density 7770 kg/m3. Number 2: V 18.0 Å³ per atom, calculated density 12901 kg/m3.